VASP calculation (GGA-PBE) on a relaxed structure of MgScIn4.

Lattice parameters (Å, degrees): 6.464 6.464 4.897 90.00 90.00 135.18
Positions (direct):
1 Mg 0.000 0.000 0.000
2 Sc 0.500 0.500 0.500
3 In 0.165 0.835 0.500
4 In 0.344 0.656 0.000
5 In 0.656 0.344 0.000
6 In 0.835 0.165 0.500

Values from the calculation:
The calculation puts the total energy at -3.27 eV per atom. The calculation puts the energy relative to the lowest polymorph listed for this composition at 0.000 eV per atom. As for the formation energy from the elements: -0.1258 eV/atom.